Record 1
Compound: BaSiAu3
Source: Alexandria via LeMat-Bulk
Functional: GGA-PBE
Structure: optimized geometry

Structure (POSCAR):
```
BaSiAu3
1.0
7.974 -2.279 0.000
7.974 2.279 0.000
-2.372 0.000 7.001
Ba Si Au
2 2 6
Direct
0.117 0.117 0.364
0.883 0.883 0.636
0.439 0.439 0.057
0.561 0.561 0.943
0.101 0.101 0.854
0.286 0.286 0.832
0.322 0.322 0.268
0.678 0.678 0.732
0.714 0.714 0.168
0.899 0.899 0.146
```

Results
Space group: No. 12
Excess energy over the best structure of this formula in the dataset in meV per atom: 129
Final energy in eV for the cell shown: -38.59
Crystal system: monoclinic

=====

Record 2
Compound: BaSi8Au6
Source: Alexandria via LeMat-Bulk
Functional: GGA-PBE
Structure: optimized geometry

Structure (POSCAR):
```
BaSi8Au6
1.0
4.525 2.613 4.141
-4.525 2.613 4.141
0.000 -5.225 4.141
Ba Si Au
1 8 6
Direct
0.000 0.000 0.000
0.023 0.823 0.517
0.177 0.483 0.977
0.270 0.270 0.270
0.483 0.977 0.177
0.517 0.023 0.823
0.730 0.730 0.730
0.823 0.517 0.023
0.977 0.177 0.483
0.283 0.295 0.655
0.295 0.655 0.283
0.345 0.717 0.705
0.655 0.283 0.295
0.705 0.345 0.717
0.717 0.705 0.345
```

Results
Space group: No. 148
Final energy in eV for the cell shown: -66.77
Crystal system: trigonal

=====

Record 3
Compound: Ba2Si4Au5
Source: Alexandria via LeMat-Bulk
Functional: GGA-PBE
Structure: optimized geometry

Structure (POSCAR):
```
Ba2Si4Au5
1.0
0.000 5.874 6.714
3.204 0.000 6.714
3.204 5.874 0.000
Ba Si Au
2 4 5
Direct
0.146 0.146 0.854
0.854 0.854 0.146
0.216 0.531 0.469
0.469 0.784 0.216
0.531 0.216 0.784
0.784 0.469 0.531
0.000 0.000 0.500
0.250 0.250 0.250
0.500 0.500 0.000
0.500 0.500 0.500
0.750 0.750 0.750
```

Results
Space group: No. 69
Final energy in eV for the cell shown: -45.75
Crystal system: orthorhombic